This record from Alexandria describes K8SeO2 after structural relaxation. The functional is GGA-PBE.

Results
The value obtained for the uncorrected formation energy is -71 kJ/mol of atoms. The final energy comes out at -2.748 eV per atom.

a b c (Å): 7.075 7.075 7.396
angles (deg): 90.00 90.00 90.00
Space group P4/mmm (No. 123)
One atom of each set of equivalent atoms:
K (0.250, 0.250, 0.218)
Se (0.000, 0.000, 0.500)
O (0.000, 0.500, 0.000)